Record 1
Below is crystalline Sc2TlW at its relaxed geometry, with properties calculated at the GGA-PBE level.

Cell: 3.6753 3.6753 6.1930 Å, 90.00 90.00 90.00°
Closest atoms and distances in Å follow each position.
Space group P4mm (No. 99)
Symmetry-distinct sites (fractional):
Sc: 0.0000 0.0000 0.0000 (multiplicity 1)  4 W 2.85, 1 Tl 2.87, 4 Sc 3.14
Sc: 0.5000 0.5000 0.2835 (multiplicity 1)  2 W 2.93-3.27, 4 Tl 3.03, 4 Sc 3.14
Tl: 0.0000 0.0000 0.5360 (multiplicity 1)  5 Sc 2.87-3.03, 4 W 3.11
W: 0.5000 0.5000 0.8111 (multiplicity 1)  5 Sc 2.85-2.93, 4 Tl 3.11

DOS(E_F) (states/eV/f.u.): 2.79
M_tot (μB per formula unit): 0.00
DFT formation energy (eV/atom): 0.2987

Record 2
Below is crystalline ScTlW2 at its relaxed geometry, with properties calculated at the GGA-PBE level.

Cell: 3.5161 4.4742 4.6787 Å, 90.00 90.00 90.00°
Closest atoms and distances in Å follow each position.
Space group Pmmm (No. 47)
Symmetry-distinct sites (fractional):
Sc: 0.0000 0.0000 0.0000 (multiplicity 1)  4 Tl 2.85, 4 W 2.93
Tl: 0.5000 0.5000 0.0000 (multiplicity 1)  4 Sc 2.85, 4 W 2.93
W: 0.0000 0.5000 0.5000 (multiplicity 1)  4 W 2.85, 4 Tl 2.93
W: 0.5000 0.0000 0.5000 (multiplicity 1)  4 W 2.85, 4 Sc 2.93

DOS(E_F) (states/eV/f.u.): 2.61
M_tot (μB per formula unit): 0.00
DFT formation energy (eV/atom): 0.4640

Record 3
Below is crystalline Sc2TlW at its relaxed geometry, with properties calculated at the GGA-PBE level.

Cell: 10.3491 3.0257 5.3538 Å, 90.00 98.30 90.00°
Closest atoms and distances in Å follow each position.
Space group Cm (No. 8)
Symmetry-distinct sites (fractional):
Sc: 0.0000 0.0000 0.0000 (multiplicity 2)  3 Tl 2.99-3.08, 4 W 3.00-3.16, 3 Sc 3.00-3.03
Sc: 0.2236 0.0000 0.6992 (multiplicity 2)  3 W 2.96-3.00, 3 Sc 3.00-3.03, 4 Tl 3.03-3.15
Tl: 0.2501 0.5000 0.2193 (multiplicity 2)  7 Sc 2.99-3.15, 2 Tl 3.03, 2 W 3.08
W: 0.4832 0.0000 0.5125 (multiplicity 2)  7 Sc 2.96-3.16, 2 W 3.03, 2 Tl 3.08

DOS(E_F) (states/eV/f.u.): 4.46
M_tot (μB per formula unit): 0.00
DFT formation energy (eV/atom): 0.2326

Record 4
Below is crystalline Sc2TlW at its relaxed geometry, with properties calculated at the GGA-PBE level.

Cell: 3.7964 4.7735 9.2713 Å, 90.00 90.00 90.00°
Closest atoms and distances in Å follow each position.
Space group Cmmm (No. 65)
Symmetry-distinct sites (fractional):
Sc: 0.0000 0.0000 0.2247 (multiplicity 4)  2 W 2.82, 4 Sc 3.05
Tl: 0.0000 0.5000 0.5000 (multiplicity 2)  4 Tl 3.05, 4 Sc 3.18
W: 0.0000 0.5000 0.0000 (multiplicity 2)  4 Sc 2.82, 4 W 3.05

DOS(E_F) (states/eV/f.u.): 3.67
M_tot (μB per formula unit): 0.00
DFT formation energy (eV/atom): 0.0770

Record 5
Below is crystalline ScTl2W at its relaxed geometry, with properties calculated at the GGA-PBE level.

Cell: 4.2578 4.2578 20.7273 Å, 90.00 90.00 90.00°
Closest atoms and distances in Å follow each position.
Space group I-42d (No. 122)
Symmetry-distinct sites (fractional):
Sc: 0.0000 0.0000 0.0000 (multiplicity 4)  4 W 3.01, 4 Tl 3.02
Tl: 0.2356 0.2500 0.6250 (multiplicity 8)  4 Tl 2.93-3.10, 2 W 2.98, 2 Sc 3.02
W: 0.0000 0.0000 0.5000 (multiplicity 4)  4 Tl 2.98, 4 Sc 3.01

DOS(E_F) (states/eV/f.u.): 5.17
M_tot (μB per formula unit): 0.00
DFT formation energy (eV/atom): 0.8402

Record 6
Below is crystalline Sc2TlW at its relaxed geometry, with properties calculated at the GGA-PBE level.

Cell: 4.2221 4.2221 9.1203 Å, 90.00 90.00 90.00°
Closest atoms and distances in Å follow each position.
Space group I-4m2 (No. 119)
Symmetry-distinct sites (fractional):
Sc: 0.0000 0.0000 0.0000 (multiplicity 2)  4 Tl 2.99, 4 W 3.11, 4 Sc 3.11
Sc: 0.0000 0.5000 0.2500 (multiplicity 2)  4 W 2.99, 4 Sc 3.11, 4 Tl 3.11
Tl: 0.0000 0.0000 0.5000 (multiplicity 2)  8 Sc 2.99-3.11, 4 W 3.11
W: 0.0000 0.5000 0.7500 (multiplicity 2)  8 Sc 2.99-3.11, 4 Tl 3.11

DOS(E_F) (states/eV/f.u.): 3.28
M_tot (μB per formula unit): 0.00
DFT formation energy (eV/atom): 0.2074

Record 7
Below is crystalline ScTlW2 at its relaxed geometry, with properties calculated at the GGA-PBE level.

Cell: 3.1593 3.1593 27.5597 Å, 90.00 90.00 120.00°
Closest atoms and distances in Å follow each position.
Space group R3m (No. 160, hexagonal axes)
Symmetry-distinct sites (fractional):
Sc: 0.0000 0.0000 0.0000 (multiplicity 3)  3 W 2.90, 6 Sc 3.16, 3 Tl 3.16
Tl: 0.0000 0.0000 0.7603 (multiplicity 3)  3 W 3.10, 6 Tl 3.16, 3 Sc 3.16
W: 0.0000 0.0000 0.2518 (multiplicity 3)  3 W 2.59, 3 Sc 2.90
W: 0.0000 0.0000 0.5182 (multiplicity 3)  3 W 2.59

DOS(E_F) (states/eV/f.u.): 2.30
M_tot (μB per formula unit): 0.00
DFT formation energy (eV/atom): 0.3941

Record 8
Below is crystalline Sc2TlW at its relaxed geometry, with properties calculated at the GGA-PBE level.

Cell: 4.1742 4.1742 20.2588 Å, 90.00 90.00 90.00°
Closest atoms and distances in Å follow each position.
Space group I-42d (No. 122)
Symmetry-distinct sites (fractional):
Sc: 0.2360 0.2500 0.1250 (multiplicity 8)  4 Sc 2.87-3.04, 2 W 2.91, 2 Tl 2.95
Tl: 0.0000 0.0000 0.5000 (multiplicity 4)  4 W 2.95, 4 Sc 2.95
W: 0.0000 0.0000 0.0000 (multiplicity 4)  4 Sc 2.91, 4 Tl 2.95

DOS(E_F) (states/eV/f.u.): 5.08
M_tot (μB per formula unit): 0.77
DFT formation energy (eV/atom): 0.8077

Repeat the eighth record exactly.
Below is crystalline Sc2TlW at its relaxed geometry, with properties calculated at the GGA-PBE level.

Cell: 4.1742 4.1742 20.2588 Å, 90.00 90.00 90.00°
Closest atoms and distances in Å follow each position.
Space group I-42d (No. 122)
Symmetry-distinct sites (fractional):
Sc: 0.2360 0.2500 0.1250 (multiplicity 8)  4 Sc 2.87-3.04, 2 W 2.91, 2 Tl 2.95
Tl: 0.0000 0.0000 0.5000 (multiplicity 4)  4 W 2.95, 4 Sc 2.95
W: 0.0000 0.0000 0.0000 (multiplicity 4)  4 Sc 2.91, 4 Tl 2.95

DOS(E_F) (states/eV/f.u.): 5.08
M_tot (μB per formula unit): 0.77
DFT formation energy (eV/atom): 0.8077